The following is a DFT calculation (GGA-PBE) of a relaxed Ce5Ru2Pt crystal.

CIF file:
```
data_Ce5Ru2Pt
_cell_length_a 5.5831
_cell_length_b 6.7302
_cell_length_c 13.7522
_cell_angle_alpha 90.00
_cell_angle_beta 90.00
_cell_angle_gamma 114.51
_symmetry_space_group_name_H-M 'P 1'
_symmetry_Int_Tables_number 1
loop_
_symmetry_equiv_pos_as_xyz
'x,y,z'
loop_
_atom_site_label
_atom_site_fract_x
_atom_site_fract_y
_atom_site_fract_z
Pt1 0.7645 0.5290 0.7500
Pt2 0.2355 0.4710 0.2500
Ce1 0.9503 0.9006 0.8801
Ce2 0.6528 0.3057 0.5590
Ce3 0.6528 0.3057 0.9410
Ce4 0.3472 0.6943 0.0590
Ce5 0.2461 0.4922 0.7500
Ce6 0.3472 0.6943 0.4410
Ce7 0.0497 0.0994 0.1199
Ce8 0.9503 0.9006 0.6199
Ce9 0.0497 0.0994 0.3801
Ce10 0.7539 0.5078 0.2500
Ru1 0.8496 0.6993 0.4418
Ru2 0.1504 0.3007 0.9418
Ru3 0.8496 0.6993 0.0582
Ru4 0.1504 0.3007 0.5582
```

Output
The spin magnetization is 3.65 μB per formula unit. Its formation energy is -228 kJ/mol of formula units. The energy above the lowest structure with this stoichiometry comes out at 192.6 meV per atom. The total energy is -7.078 eV/atom.

The following is a DFT calculation (GGA-PBE) of a relaxed SrHo4Ga3O12 crystal.

CIF file:
```
data_SrHo4Ga3O12
_cell_length_a 7.0666
_cell_length_b 7.0666
_cell_length_c 7.0666
_cell_angle_alpha 109.47
_cell_angle_beta 109.47
_cell_angle_gamma 109.47
_symmetry_space_group_name_H-M 'P 1'
_symmetry_Int_Tables_number 1
loop_
_symmetry_equiv_pos_as_xyz
'x,y,z'
loop_
_atom_site_label
_atom_site_fract_x
_atom_site_fract_y
_atom_site_fract_z
O1 0.5182 0.6761 0.8420
O2 0.1659 0.3239 0.8420
O3 0.8420 0.1659 0.3239
O4 0.1580 0.4818 0.3239
O5 0.8420 0.5182 0.6761
O6 0.4818 0.3239 0.1580
O7 0.3239 0.1580 0.4818
O8 0.6761 0.8420 0.5182
O9 0.3239 0.8420 0.1659
O10 0.1580 0.8341 0.6761
O11 0.8341 0.6761 0.1580
O12 0.6761 0.1580 0.8341
Ho1 0.0000 0.0000 0.5000
Ho2 0.5000 0.5000 0.5000
Ho3 0.0000 0.5000 0.0000
Ho4 0.5000 0.0000 0.0000
Ga1 0.0000 0.5000 0.5000
Ga2 0.5000 0.5000 0.0000
Ga3 0.5000 0.0000 0.5000
Sr1 0.0000 0.0000 0.0000
```

Output
The spin magnetization is 1.08 μB per formula unit. The uncorrected formation energy is -5013 kJ/mol of formula units. The total energy is -7.026 eV/atom.

The following is a DFT calculation (GGA-PBE) of a relaxed LaZn7Ni5 crystal.

CIF file:
```
data_LaZn7Ni5
_cell_length_a 5.0443
_cell_length_b 6.6027
_cell_length_c 6.6027
_cell_angle_alpha 81.94
_cell_angle_beta 67.54
_cell_angle_gamma 67.54
_symmetry_space_group_name_H-M 'P 1'
_symmetry_Int_Tables_number 1
loop_
_symmetry_equiv_pos_as_xyz
'x,y,z'
loop_
_atom_site_label
_atom_site_fract_x
_atom_site_fract_y
_atom_site_fract_z
Ni1 0.4973 0.0015 0.5009
Ni2 0.0003 0.0015 0.5009
Ni3 0.4973 0.5009 0.0015
Ni4 0.7261 0.7739 0.7739
Ni5 0.0003 0.5009 0.0015
Zn1 0.5024 0.2177 0.7775
Zn2 0.3543 0.6457 0.6457
Zn3 0.5024 0.7775 0.2177
Zn4 0.9875 0.3626 0.6624
Zn5 0.6611 0.3389 0.3389
Zn6 0.2682 0.2318 0.2318
Zn7 0.9875 0.6624 0.3626
La1 0.0154 0.9846 0.9846
```

Output
The spin magnetization is 0.00 μB per formula unit. Its formation energy is -344 kJ/mol of formula units. The total energy is -3.563 eV/atom.

The following is a DFT calculation (GGA-PBE) of a relaxed KHgBr2Cl crystal.

CIF file:
```
data_KHgBr2Cl
_cell_length_a 4.5760
_cell_length_b 8.2416
_cell_length_c 9.6068
_cell_angle_alpha 104.19
_cell_angle_beta 90.00
_cell_angle_gamma 90.00
_symmetry_space_group_name_H-M 'P 1'
_symmetry_Int_Tables_number 1
loop_
_symmetry_equiv_pos_as_xyz
'x,y,z'
loop_
_atom_site_label
_atom_site_fract_x
_atom_site_fract_y
_atom_site_fract_z
K1 0.7500 0.2754 0.6807
K2 0.2500 0.7246 0.3193
Br1 0.2500 0.1509 0.9011
Br2 0.2500 0.1637 0.4070
Br3 0.7500 0.8363 0.5930
Br4 0.7500 0.8491 0.0989
Hg1 0.7500 0.1617 0.2106
Hg2 0.2500 0.8383 0.7894
Cl1 0.7500 0.4539 0.2085
Cl2 0.2500 0.5461 0.7915
```

Output
The spin magnetization is 0.00 μB per formula unit. The energy above the lowest structure with this stoichiometry comes out at 0.0 meV per atom. The uncorrected formation energy is -500 kJ/mol of formula units. The total energy is -2.354 eV/atom.